[1]
## Li2CeGa (PBE-GGA)

Data for Li2CeGa after structural relaxation.

abc: 4.764 4.764 4.764
angles: 60.00 60.00 60.00
Site moments in Bohr magnetons follow the coordinates.
Fractional positions:
Ga (0.000, 0.000, 0.000)  -0.04
Ce (0.500, 0.500, 0.500)  0.80
Li (0.750, 0.750, 0.750)  0.01
Li (0.250, 0.250, 0.250)  0.01

Values from the calculation:
The calculation puts the formation energy at -0.1619 eV per atom. As for the crystal system: cubic.

[2]
## LiCe2Ga5 (PBE-GGA)

Data for LiCe2Ga5 after structural relaxation.

abc: 4.318 8.816 9.012
angles: 90.00 90.00 104.17
Site moments in Bohr magnetons follow the coordinates.
Fractional positions:
Li (0.438, 0.875, 0.750)  0.02
Li (0.562, 0.125, 0.250)  0.02
Ce (0.792, 0.584, 0.750)  0.65
Ce (0.208, 0.416, 0.250)  0.65
Ce (0.000, 0.000, 0.000)  0.90
Ce (0.000, 0.000, 0.500)  0.90
Ga (0.188, 0.375, 0.893)  0.00
Ga (0.812, 0.625, 0.107)  0.00
Ga (0.188, 0.375, 0.607)  0.00
Ga (0.812, 0.625, 0.393)  0.00
Ga (0.358, 0.716, 0.978)  0.00
Ga (0.642, 0.284, 0.022)  0.00
Ga (0.358, 0.716, 0.522)  0.00
Ga (0.642, 0.284, 0.478)  0.00
Ga (0.581, 0.163, 0.750)  0.00
Ga (0.419, 0.837, 0.250)  0.00

Values from the calculation:
The calculation puts the formation energy at -0.4014 eV per atom. The value obtained for the energy above the lowest structure with this stoichiometry is 9 meV/atom. As for the crystal system: orthorhombic.

[3]
## LiCeGa (PBE-GGA)

Data for LiCeGa after structural relaxation.

abc: 4.545 5.641 5.640
angles: 89.11 66.26 66.26
Site moments in Bohr magnetons follow the coordinates.
Fractional positions:
Li (0.654, 0.207, 0.638)  -0.01
Li (0.653, 0.534, 0.312)  -0.01
Ce (0.425, 0.099, 0.203)  0.39
Ce (0.196, 0.828, 0.933)  0.33
Ga (0.968, 0.723, 0.495)  -0.01
Ga (0.968, 0.390, 0.827)  -0.01

Values from the calculation:
The calculation puts the formation energy at -0.2694 eV per atom. The value obtained for the energy above the lowest structure with this stoichiometry is 10 meV/atom. As for the crystal system: orthorhombic.

[4]
## LiCe4Ga12 (PBE-GGA)

Data for LiCe4Ga12 after structural relaxation.

abc: 7.614 7.614 7.614
angles: 109.47 109.47 109.47
Site moments in Bohr magnetons follow the coordinates.
Fractional positions:
Li (0.000, 0.000, 0.000)  0.00
Ce (0.000, 0.000, 0.500)  0.32
Ce (0.500, 0.000, 0.000)  0.32
Ce (0.500, 0.500, 0.500)  0.32
Ce (0.000, 0.500, 0.000)  0.32
Ga (0.000, 0.302, 0.302)  0.01
Ga (0.000, 0.698, 0.698)  0.01
Ga (0.698, 0.698, 0.000)  0.01
Ga (0.302, 0.302, 0.000)  0.01
Ga (0.302, 0.000, 0.302)  0.01
Ga (0.698, 0.000, 0.698)  0.01
Ga (0.500, 0.250, 0.750)  0.00
Ga (0.500, 0.750, 0.250)  0.00
Ga (0.750, 0.250, 0.500)  0.00
Ga (0.250, 0.750, 0.500)  0.00
Ga (0.750, 0.500, 0.250)  0.00
Ga (0.250, 0.500, 0.750)  0.00

Values from the calculation:
The calculation puts the formation energy at -0.5254 eV per atom. As for the crystal system: cubic.

[5]
## Li2Ce3Ga9 (PBE-GGA)

Data for Li2Ce3Ga9 after structural relaxation.

abc: 4.354 8.390 8.390
angles: 69.26 74.96 74.96
Site moments in Bohr magnetons follow the coordinates.
Fractional positions:
Li (0.500, 0.299, 0.701)  0.00
Li (0.500, 0.701, 0.299)  0.00
Ce (0.000, 0.000, 0.000)  0.77
Ce (0.691, 0.309, 0.309)  0.61
Ce (0.309, 0.691, 0.691)  0.61
Ga (0.000, 0.500, 0.500)  0.00
Ga (0.662, 0.972, 0.704)  0.00
Ga (0.338, 0.028, 0.296)  0.00
Ga (0.662, 0.704, 0.972)  0.00
Ga (0.338, 0.296, 0.028)  0.00
Ga (0.862, 0.861, 0.415)  -0.01
Ga (0.138, 0.139, 0.585)  -0.01
Ga (0.862, 0.415, 0.861)  -0.01
Ga (0.138, 0.585, 0.139)  -0.01

Values from the calculation:
The calculation puts the formation energy at -0.4923 eV per atom. As for the crystal system: orthorhombic.

[6]
## LiCeMgGa (PBE-GGA)

Data for LiCeMgGa after structural relaxation.

abc: 4.950 4.950 4.950
angles: 60.00 60.00 60.00
Site moments in Bohr magnetons follow the coordinates.
Fractional positions:
Mg (0.500, 0.500, 0.500)  0.00
Ga (0.250, 0.250, 0.250)  -0.01
Ce (0.000, 0.000, 0.000)  0.79
Li (0.750, 0.750, 0.750)  0.02

Values from the calculation:
The calculation puts the formation energy at -0.2417 eV per atom. As for the crystal system: cubic.

[7]
## LiCe2MnGa6 (PBE-GGA)

Data for LiCe2MnGa6 after structural relaxation.

abc: 6.511 6.511 6.512
angles: 59.96 59.96 90.00
Site moments in Bohr magnetons follow the coordinates.
Fractional positions:
Li (0.500, 0.500, 0.000)  -0.03
Ce (0.250, 0.750, 0.500)  0.82
Ce (0.750, 0.250, 0.500)  0.82
Mn (0.000, 0.000, 0.000)  2.29
Ga (0.257, 0.743, 0.000)  0.00
Ga (0.743, 0.743, 0.000)  0.00
Ga (0.257, 0.257, 0.487)  0.00
Ga (0.743, 0.257, 0.000)  0.00
Ga (0.257, 0.257, 0.000)  0.00
Ga (0.743, 0.743, 0.513)  0.00

Values from the calculation:
The calculation puts the formation energy at -0.2385 eV per atom. As for the crystal system: monoclinic.

[8]
## LiCeMnGa (PBE-GGA)

Data for LiCeMnGa after structural relaxation.

abc: 4.635 4.635 4.635
angles: 60.00 60.00 60.00
Site moments in Bohr magnetons follow the coordinates.
Fractional positions:
Mn (0.000, 0.000, 0.000)  3.11
Ga (0.750, 0.750, 0.750)  -0.01
Ce (0.250, 0.250, 0.250)  -0.42
Li (0.500, 0.500, 0.500)  -0.02

Values from the calculation:
The calculation puts the formation energy at -0.0892 eV per atom. As for the crystal system: cubic.

The calculation returns the following calculated total energy values, one per record and in order: -13.44; -64.25; -23.37; -70.90; -55.76; -13.44; -43.50; -20.40 eV per cell.